# AlFeCl2, single point on PBEsol structure, DFT SCAN
data_AlFeCl2
_chemical_formula_sum 'Al1 Fe1 Cl2'
_symmetry_space_group_name_H-M 'P 1'
_symmetry_Int_Tables_number 1
_cell_length_a 3.657
_cell_length_b 3.657
_cell_length_c 6.050
_cell_angle_alpha 107.59
_cell_angle_beta 107.59
_cell_angle_gamma 90.00
loop_
_symmetry_equiv_pos_as_xyz
'x,y,z'
loop_
_atom_site_label
_atom_site_fract_x
_atom_site_fract_y
_atom_site_fract_z
Cl1 0.750 0.250 0.500
Cl2 0.000 0.000 0.000
Fe1 0.500 0.500 0.000
Al1 0.250 0.750 0.500
# - Offset from the most stable computed form: 0.503 eV per atom
# - SG: I-4m2 (119)
# - VASP energy: -41.50 eV for the cell shown

***

# SrSbTe2N, single point on PBEsol structure, DFT SCAN
data_SrSbTe2N
_chemical_formula_sum 'Sr1 Sb1 Te2 N1'
_symmetry_space_group_name_H-M 'P 1'
_symmetry_Int_Tables_number 1
_cell_length_a 6.049
_cell_length_b 6.049
_cell_length_c 6.149
_cell_angle_alpha 90.00
_cell_angle_beta 90.00
_cell_angle_gamma 90.00
loop_
_symmetry_equiv_pos_as_xyz
'x,y,z'
loop_
_atom_site_label
_atom_site_fract_x
_atom_site_fract_y
_atom_site_fract_z
Te1 0.000 0.500 0.000
Te2 0.500 0.000 0.000
N1 0.500 0.500 0.500
Sr1 0.000 0.000 0.000
Sb1 0.000 0.000 0.500
# - Offset from the most stable computed form: 1.326 eV per atom
# - SG: P4/mmm (123)
# - VASP energy: -137.01 eV for the cell shown

***

# TcIrW2, single point on PBEsol structure, DFT SCAN
data_TcIrW2
_chemical_formula_sum 'Tc1 Ir1 W2'
_symmetry_space_group_name_H-M 'P 1'
_symmetry_Int_Tables_number 1
_cell_length_a 2.756
_cell_length_b 3.877
_cell_length_c 5.560
_cell_angle_alpha 90.00
_cell_angle_beta 90.00
_cell_angle_gamma 90.00
loop_
_symmetry_equiv_pos_as_xyz
'x,y,z'
loop_
_atom_site_label
_atom_site_fract_x
_atom_site_fract_y
_atom_site_fract_z
W1 0.000 0.000 0.748
W2 0.000 0.000 0.252
Ir1 0.500 0.500 0.000
Tc1 0.500 0.500 0.500
# - Offset from the most stable computed form: 0.050 eV per atom
# - E_form: -0.057 eV/atom
# - SG: Pmmm (47)
# - VASP energy: -245.76 eV for the cell shown

***

# LaCoRe, single point on PBEsol structure, DFT SCAN
data_LaCoRe
_chemical_formula_sum 'La1 Co1 Re1'
_symmetry_space_group_name_H-M 'P 1'
_symmetry_Int_Tables_number 1
_cell_length_a 3.975
_cell_length_b 3.975
_cell_length_c 4.489
_cell_angle_alpha 90.00
_cell_angle_beta 90.00
_cell_angle_gamma 120.00
loop_
_symmetry_equiv_pos_as_xyz
'x,y,z'
loop_
_atom_site_label
_atom_site_fract_x
_atom_site_fract_y
_atom_site_fract_z
Re1 0.667 0.333 0.500
La1 0.333 0.667 0.000
Co1 0.000 0.000 0.500
# - Offset from the most stable computed form: 0.000 eV per atom
# - E_form: 0.171 eV/atom
# - SG: P-6m2 (187)
# - VASP energy: -130.99 eV for the cell shown

***

# LiCuAg2, single point on PBEsol structure, DFT SCAN
data_LiCuAg2
_chemical_formula_sum 'Li1 Cu1 Ag2'
_symmetry_space_group_name_H-M 'P 1'
_symmetry_Int_Tables_number 1
_cell_length_a 3.107
_cell_length_b 3.107
_cell_length_c 5.969
_cell_angle_alpha 90.00
_cell_angle_beta 90.00
_cell_angle_gamma 90.00
loop_
_symmetry_equiv_pos_as_xyz
'x,y,z'
loop_
_atom_site_label
_atom_site_fract_x
_atom_site_fract_y
_atom_site_fract_z
Ag1 0.000 0.000 0.978
Ag2 0.500 0.500 0.272
Cu1 0.000 0.000 0.515
Li1 0.500 0.500 0.735
# - E_form: 0.010 eV/atom
# - SG: P4mm (99)
# - VASP energy: -80.28 eV for the cell shown

***

# YTe4, single point on PBEsol structure, DFT SCAN
data_YTe4
_chemical_formula_sum 'Y1 Te4'
_symmetry_space_group_name_H-M 'P 1'
_symmetry_Int_Tables_number 1
_cell_length_a 6.153
_cell_length_b 6.358
_cell_length_c 6.153
_cell_angle_alpha 61.06
_cell_angle_beta 90.00
_cell_angle_gamma 118.94
loop_
_symmetry_equiv_pos_as_xyz
'x,y,z'
loop_
_atom_site_label
_atom_site_fract_x
_atom_site_fract_y
_atom_site_fract_z
Te1 0.750 0.500 0.750
Te2 0.250 0.500 0.250
Te3 0.689 0.379 0.311
Te4 0.311 0.621 0.689
Y1 0.000 0.000 0.000
# - SG: I4/mmm (139)
# - VASP energy: -178.05 eV for the cell shown

***

# ScCd2In, single point on PBEsol structure, DFT SCAN
data_ScCd2In
_chemical_formula_sum 'Sc1 Cd2 In1'
_symmetry_space_group_name_H-M 'P 1'
_symmetry_Int_Tables_number 1
_cell_length_a 3.114
_cell_length_b 4.535
_cell_length_c 6.239
_cell_angle_alpha 90.00
_cell_angle_beta 104.46
_cell_angle_gamma 90.00
loop_
_symmetry_equiv_pos_as_xyz
'x,y,z'
loop_
_atom_site_label
_atom_site_fract_x
_atom_site_fract_y
_atom_site_fract_z
Cd1 0.554 0.500 0.232
Cd2 0.946 0.000 0.016
In1 0.698 0.000 0.523
Sc1 0.302 0.500 0.729
# - E_form: -0.257 eV/atom
# - SG: Amm2 (38)
# - VASP energy: -109.48 eV for the cell shown

***

# Rb3MnRu, single point on PBEsol structure, DFT SCAN
data_Rb3MnRu
_chemical_formula_sum 'Rb3 Mn1 Ru1'
_symmetry_space_group_name_H-M 'P 1'
_symmetry_Int_Tables_number 1
_cell_length_a 6.421
_cell_length_b 6.421
_cell_length_c 6.421
_cell_angle_alpha 90.00
_cell_angle_beta 90.00
_cell_angle_gamma 90.00
loop_
_symmetry_equiv_pos_as_xyz
'x,y,z'
loop_
_atom_site_label
_atom_site_fract_x
_atom_site_fract_y
_atom_site_fract_z
Rb1 0.000 0.000 0.500
Rb2 0.500 0.000 0.000
Rb3 0.000 0.500 0.000
Ru1 0.500 0.500 0.500
Mn1 0.000 0.000 0.000
# - E_form: 1.537 eV/atom
# - SG: Pm-3m (221)
# - VASP energy: -107.61 eV for the cell shown

***

no.,D(E_F) (states/eV/f.u.)
1,1.07
2,3.31
3,3.09
4,1.62
5,0.95
6,2.42
7,1.82
8,8.99